# 1
# PBE-GGA La2Nd2Se7, optimized geometry
data_La2Nd2Se7
_cell_length_a 7.5017
_cell_length_b 6.4208
_cell_length_c 7.5017
_cell_angle_alpha 89.99
_cell_angle_beta 91.63
_cell_angle_gamma 90.01
_symmetry_space_group_name_H-M 'P 1'
_symmetry_Int_Tables_number 1
loop_
_symmetry_equiv_pos_as_xyz
'x,y,z'
loop_
_atom_site_label
_atom_site_type_symbol
_atom_site_fract_x
_atom_site_fract_y
_atom_site_fract_z
Se1 Se 0.9998 0.2635 0.5003
Se2 Se 0.4998 0.2473 0.5002
Se3 Se 0.5003 0.7365 0.9998
Se4 Se 0.4997 0.2635 0.0002
Se5 Se 0.5002 0.7527 0.4998
Se6 Se 0.0002 0.7365 0.4997
Se7 Se 0.0000 0.0000 0.0000
Nd1 Nd 0.7246 0.5000 0.7246
Nd2 Nd 0.2754 0.5000 0.2754
La1 La 0.2636 0.0000 0.7364
La2 La 0.7364 0.0000 0.2636
# SG: No. 65
# Total magnetization: 0.00 μB per formula unit
# Formation energy without anion corrections: -1541 meV per atom

***

# 2
# PBE-GGA SmGe2Mo, optimized geometry
data_SmGe2Mo
_cell_length_a 4.3016
_cell_length_b 4.3016
_cell_length_c 5.6656
_cell_angle_alpha 67.69
_cell_angle_beta 67.69
_cell_angle_gamma 60.00
_symmetry_space_group_name_H-M 'P 1'
_symmetry_Int_Tables_number 1
loop_
_symmetry_equiv_pos_as_xyz
'x,y,z'
loop_
_atom_site_label
_atom_site_type_symbol
_atom_site_fract_x
_atom_site_fract_y
_atom_site_fract_z
Sm1 Sm 0.0000 0.0000 0.0000
Ge1 Ge 0.7765 0.7765 0.6706
Ge2 Ge 0.2235 0.2235 0.3294
Mo1 Mo 0.5000 0.5000 0.5000
# SG: No. 166
# Total magnetization: 0.33 μB per formula unit
# Formation energy from the elements: -0.310 eV per atom

***

# 3
# PBE-GGA LiEuIn, optimized geometry
data_LiEuIn
_cell_length_a 3.5530
_cell_length_b 5.1345
_cell_length_c 5.1345
_cell_angle_alpha 120.00
_cell_angle_beta 90.00
_cell_angle_gamma 90.00
_symmetry_space_group_name_H-M 'P 1'
_symmetry_Int_Tables_number 1
loop_
_symmetry_equiv_pos_as_xyz
'x,y,z'
loop_
_atom_site_label
_atom_site_type_symbol
_atom_site_fract_x
_atom_site_fract_y
_atom_site_fract_z
Li1 Li 0.1661 0.6667 0.3333
Eu1 Eu 0.6668 0.3333 0.6667
In1 In 0.1671 0.0000 0.0000
# SG: No. 187
# Total magnetization: 7.03 μB per formula unit
# Formation energy from the elements: -0.294 eV per atom

***

# 4
# PBE-GGA Y8HgSb3Te4, optimized geometry
data_Y8HgSb3Te4
_cell_length_a 8.7386
_cell_length_b 8.7727
_cell_length_c 8.7386
_cell_angle_alpha 119.87
_cell_angle_beta 120.00
_cell_angle_gamma 90.00
_symmetry_space_group_name_H-M 'P 1'
_symmetry_Int_Tables_number 1
loop_
_symmetry_equiv_pos_as_xyz
'x,y,z'
loop_
_atom_site_label
_atom_site_type_symbol
_atom_site_fract_x
_atom_site_fract_y
_atom_site_fract_z
Sb1 Sb 0.0000 0.5000 0.5000
Sb2 Sb 0.5000 0.5000 0.5000
Sb3 Sb 0.5000 0.5000 0.0000
Y1 Y 0.7564 0.2618 0.5128
Y2 Y 0.7459 0.7376 0.4917
Y3 Y 0.2541 0.2624 0.5083
Y4 Y 0.2436 0.7382 0.9947
Y5 Y 0.7511 0.7382 0.9947
Y6 Y 0.7564 0.2618 0.0053
Y7 Y 0.2436 0.7382 0.4872
Y8 Y 0.2489 0.2618 0.0053
Te1 Te 0.5000 0.0000 0.0000
Te2 Te 0.0000 0.0000 0.0000
Te3 Te 0.5000 0.0000 0.5000
Te4 Te 0.0000 0.0000 0.5000
Hg1 Hg 0.0000 0.5000 0.0000
# SG: No. 166
# Total magnetization: 0.00 μB per formula unit
# Formation energy without anion corrections: -1184 meV per atom

***

# 5
# PBE-GGA K2YTaTe, optimized geometry
data_K2YTaTe
_cell_length_a 6.3003
_cell_length_b 5.3359
_cell_length_c 6.3003
_cell_angle_alpha 90.00
_cell_angle_beta 90.00
_cell_angle_gamma 90.00
_symmetry_space_group_name_H-M 'P 1'
_symmetry_Int_Tables_number 1
loop_
_symmetry_equiv_pos_as_xyz
'x,y,z'
loop_
_atom_site_label
_atom_site_type_symbol
_atom_site_fract_x
_atom_site_fract_y
_atom_site_fract_z
Y1 Y 0.5000 0.5000 0.5000
K1 K 0.5000 0.0000 0.0000
K2 K 0.0000 0.0000 0.5000
Te1 Te 0.0000 0.0000 0.0000
Ta1 Ta 0.0000 0.5000 0.0000
# SG: No. 123
# Total magnetization: 3.76 μB per formula unit
# Formation energy without anion corrections: 907 meV per atom

***

# 6
# PBE-GGA NaTiBTe2, optimized geometry
data_NaTiBTe2
_cell_length_a 5.4368
_cell_length_b 4.9713
_cell_length_c 5.4368
_cell_angle_alpha 90.00
_cell_angle_beta 90.00
_cell_angle_gamma 90.00
_symmetry_space_group_name_H-M 'P 1'
_symmetry_Int_Tables_number 1
loop_
_symmetry_equiv_pos_as_xyz
'x,y,z'
loop_
_atom_site_label
_atom_site_type_symbol
_atom_site_fract_x
_atom_site_fract_y
_atom_site_fract_z
Te1 Te 0.5000 0.0000 0.0000
Te2 Te 0.0000 0.0000 0.5000
Na1 Na 0.0000 0.0000 0.0000
Ti1 Ti 0.0000 0.5000 0.0000
B1 B 0.5000 0.5000 0.5000
# SG: No. 123
# Total magnetization: 2.40 μB per formula unit
# Formation energy without anion corrections: 1650 meV per atom

***

# 7
# PBE-GGA Tb2ZnSe, optimized geometry
data_Tb2ZnSe
_cell_length_a 3.8869
_cell_length_b 3.8869
_cell_length_c 8.0538
_cell_angle_alpha 76.04
_cell_angle_beta 76.04
_cell_angle_gamma 60.00
_symmetry_space_group_name_H-M 'P 1'
_symmetry_Int_Tables_number 1
loop_
_symmetry_equiv_pos_as_xyz
'x,y,z'
loop_
_atom_site_label
_atom_site_type_symbol
_atom_site_fract_x
_atom_site_fract_y
_atom_site_fract_z
Se1 Se 0.4990 0.4990 0.5029
Tb1 Tb 0.0838 0.0838 0.7485
Tb2 Tb 0.2497 0.2497 0.2509
Zn1 Zn 0.6674 0.6674 0.9977
# SG: No. 160
# Total magnetization: 0.00 μB per formula unit
# Formation energy without anion corrections: -926 meV per atom

***

# 8
# PBE-GGA SrZr3Ta, optimized geometry
data_SrZr3Ta
_cell_length_a 5.3001
_cell_length_b 5.3001
_cell_length_c 5.3001
_cell_angle_alpha 90.00
_cell_angle_beta 90.00
_cell_angle_gamma 90.00
_symmetry_space_group_name_H-M 'P 1'
_symmetry_Int_Tables_number 1
loop_
_symmetry_equiv_pos_as_xyz
'x,y,z'
loop_
_atom_site_label
_atom_site_type_symbol
_atom_site_fract_x
_atom_site_fract_y
_atom_site_fract_z
Zr1 Zr 0.0000 0.0000 0.5000
Zr2 Zr 0.0000 0.5000 0.0000
Zr3 Zr 0.5000 0.0000 0.0000
Ta1 Ta 0.0000 0.0000 0.0000
Sr1 Sr 0.5000 0.5000 0.5000
# SG: No. 221
# Total magnetization: 0.00 μB per formula unit
# Formation energy from the elements: 0.712 eV per atom

***

# 9
# PBE-GGA NaSiGeSe2, optimized geometry
data_NaSiGeSe2
_cell_length_a 5.1190
_cell_length_b 4.6808
_cell_length_c 5.1190
_cell_angle_alpha 90.00
_cell_angle_beta 90.00
_cell_angle_gamma 90.00
_symmetry_space_group_name_H-M 'P 1'
_symmetry_Int_Tables_number 1
loop_
_symmetry_equiv_pos_as_xyz
'x,y,z'
loop_
_atom_site_label
_atom_site_type_symbol
_atom_site_fract_x
_atom_site_fract_y
_atom_site_fract_z
Se1 Se 0.5000 0.0000 0.0000
Se2 Se 0.0000 0.0000 0.5000
Na1 Na 0.5000 0.5000 0.5000
Ge1 Ge 0.0000 0.5000 0.0000
Si1 Si 0.0000 0.0000 0.0000
# SG: No. 123
# Total magnetization: 0.00 μB per formula unit
# Formation energy without anion corrections: 8 meV per atom

***

# 10
# PBE-GGA Tb2Nd2Ho2Mg, optimized geometry
data_Tb2Nd2Ho2Mg
_cell_length_a 3.6549
_cell_length_b 6.3286
_cell_length_c 11.6036
_cell_angle_alpha 116.85
_cell_angle_beta 90.00
_cell_angle_gamma 106.78
_symmetry_space_group_name_H-M 'P 1'
_symmetry_Int_Tables_number 1
loop_
_symmetry_equiv_pos_as_xyz
'x,y,z'
loop_
_atom_site_label
_atom_site_type_symbol
_atom_site_fract_x
_atom_site_fract_y
_atom_site_fract_z
Ho1 Ho 0.6794 0.3588 0.0855
Ho2 Ho 0.3206 0.6412 0.9145
Tb1 Tb 0.7480 0.4959 0.6298
Tb2 Tb 0.2520 0.5041 0.3702
Mg1 Mg 0.0000 0.0000 0.5000
Nd1 Nd 0.4699 0.9399 0.2532
Nd2 Nd 0.5301 0.0601 0.7468
# SG: No. 12
# Total magnetization: 0.00 μB per formula unit
# Formation energy from the elements: 0.090 eV per atom

***

# 11
# PBE-GGA SrSbI, optimized geometry
data_SrSbI
_cell_length_a 4.3193
_cell_length_b 6.9720
_cell_length_c 8.6022
_cell_angle_alpha 75.22
_cell_angle_beta 75.45
_cell_angle_gamma 71.97
_symmetry_space_group_name_H-M 'P 1'
_symmetry_Int_Tables_number 1
loop_
_symmetry_equiv_pos_as_xyz
'x,y,z'
loop_
_atom_site_label
_atom_site_type_symbol
_atom_site_fract_x
_atom_site_fract_y
_atom_site_fract_z
I1 I 0.6313 0.0286 0.5015
I2 I 0.4375 0.7266 0.1918
Sb1 Sb 0.2839 0.2771 0.9480
Sb2 Sb 0.7848 0.4781 0.7454
Sr1 Sr 0.0344 0.3776 0.3467
Sr2 Sr 0.0344 0.8776 0.8467
# SG: No. 12
# Total magnetization: 0.00 μB per formula unit
# Formation energy without anion corrections: -1046 meV per atom

***

# 12
# PBE-GGA Pr4SiI2O, optimized geometry
data_Pr4SiI2O
_cell_length_a 4.1116
_cell_length_b 7.0452
_cell_length_c 8.1856
_cell_angle_alpha 107.48
_cell_angle_beta 90.00
_cell_angle_gamma 90.00
_symmetry_space_group_name_H-M 'P 1'
_symmetry_Int_Tables_number 1
loop_
_symmetry_equiv_pos_as_xyz
'x,y,z'
loop_
_atom_site_label
_atom_site_type_symbol
_atom_site_fract_x
_atom_site_fract_y
_atom_site_fract_z
I1 I 0.0000 0.5000 0.5000
I2 I 0.5000 0.0000 0.5000
Pr1 Pr 0.0000 0.2345 0.8182
Pr2 Pr 0.0000 0.7655 0.1818
Pr3 Pr 0.5000 0.2044 0.1787
Pr4 Pr 0.5000 0.7956 0.8213
O1 O 0.0000 0.0000 0.0000
Si1 Si 0.5000 0.5000 0.0000
# SG: No. 10
# Total magnetization: 0.00 μB per formula unit
# Formation energy without anion corrections: -1327 meV per atom

***

# 13
# PBE-GGA NbGaHg3, optimized geometry
data_NbGaHg3
_cell_length_a 5.4580
_cell_length_b 5.4580
_cell_length_c 5.4580
_cell_angle_alpha 90.00
_cell_angle_beta 90.00
_cell_angle_gamma 90.00
_symmetry_space_group_name_H-M 'P 1'
_symmetry_Int_Tables_number 1
loop_
_symmetry_equiv_pos_as_xyz
'x,y,z'
loop_
_atom_site_label
_atom_site_type_symbol
_atom_site_fract_x
_atom_site_fract_y
_atom_site_fract_z
Hg1 Hg 0.5000 0.0000 0.0000
Hg2 Hg 0.0000 0.5000 0.0000
Hg3 Hg 0.0000 0.0000 0.5000
Nb1 Nb 0.0000 0.0000 0.0000
Ga1 Ga 0.5000 0.5000 0.5000
# SG: No. 221
# Total magnetization: 1.70 μB per formula unit
# Formation energy from the elements: 0.796 eV per atom

***

# 14
# PBE-GGA LiH6Pd3, optimized geometry
data_LiH6Pd3
_cell_length_a 2.9211
_cell_length_b 7.8631
_cell_length_c 7.5616
_cell_angle_alpha 109.00
_cell_angle_beta 90.00
_cell_angle_gamma 90.00
_symmetry_space_group_name_H-M 'P 1'
_symmetry_Int_Tables_number 1
loop_
_symmetry_equiv_pos_as_xyz
'x,y,z'
loop_
_atom_site_label
_atom_site_type_symbol
_atom_site_fract_x
_atom_site_fract_y
_atom_site_fract_z
H1 H 0.7500 0.1038 0.4274
H2 H 0.7500 0.4010 0.5605
H3 H 0.2500 0.2751 0.2503
H4 H 0.7500 0.9106 0.0488
H5 H 0.7500 0.6756 0.2544
H6 H 0.7500 0.7249 0.7497
H7 H 0.2500 0.6145 0.9513
H8 H 0.2500 0.5990 0.4395
H9 H 0.7500 0.3855 0.0487
H10 H 0.2500 0.8962 0.5726
H11 H 0.2500 0.0894 0.9512
H12 H 0.2500 0.3244 0.7456
Pd1 Pd 0.7500 0.1666 0.1069
Pd2 Pd 0.2500 0.2515 0.4884
Pd3 Pd 0.2500 0.8334 0.8931
Pd4 Pd 0.7500 0.7485 0.5116
Pd5 Pd 0.2500 0.5238 0.1788
Pd6 Pd 0.7500 0.4762 0.8212
Li1 Li 0.2500 0.9038 0.2754
Li2 Li 0.7500 0.0962 0.7246
# SG: No. 11
# Total magnetization: 0.00 μB per formula unit

***

Computed ρ, in the same sequence as the records: 5.14; 7.97; 5.60; 6.25; 3.73; 3.81; 7.58; 6.05; 3.81; 7.04; 4.77; 6.33; 7.81; 6.72 g/cm³.
Computed E, in the same sequence as the records: -5.521; -6.506; -5.270; -5.993; -3.824; -2.785; -4.431; -7.124; -3.658; -4.131; -3.497; -5.402; -2.004; -3.895 eV/atom.